BeHg2As: optimized geometry, PBE.

Summary:
Formation energy (eV per formula unit): 1.22
Volume (Å³/cell): 86
Electronic total energy (eV/atom): -1.941
Offset from the most stable computed form (eV per atom): 0.245

Cell: 3.0419 3.0419 9.3187 Å, 90.00 90.00 90.00°
Atoms (fractional coordinates):
Be: 0.0000 0.0000 0.0000
Hg: 0.0000 0.0000 0.5408
Hg: 0.5000 0.5000 0.2236
As: 0.5000 0.5000 0.8787



InTe2I: optimized geometry, PBE.

Summary:
Volume (Å³/cell): 661
Electronic total energy (eV/atom): -2.559
Offset from the most stable computed form (eV per atom): 0.243
Uncorrected formation energy (eV/atom): 0.0839

Cell: 7.9766 7.9766 10.3861 Å, 90.00 90.00 90.00°
Atoms (fractional coordinates):
In: 0.0000 0.0000 0.0000
In: 0.0000 0.5000 0.2500
In: 0.5000 0.0000 0.7500
In: 0.5000 0.5000 0.5000
Te: 0.2015 0.7500 0.1250
Te: 0.2500 0.2015 0.8750
Te: 0.2500 0.2985 0.3750
Te: 0.2985 0.7500 0.6250
Te: 0.7015 0.2500 0.6250
Te: 0.7500 0.7015 0.3750
Te: 0.7500 0.7985 0.8750
Te: 0.7985 0.2500 0.1250
I: 0.0000 0.0000 0.5000
I: 0.0000 0.5000 0.7500
I: 0.5000 0.0000 0.2500
I: 0.5000 0.5000 0.0000



Ac2Zn3Sn4Rh: optimized geometry, PBE.

Summary:
Formation energy (eV per formula unit): -4.76
Volume (Å³/cell): 244
Electronic total energy (eV/atom): -4.016

Cell: 4.7116 4.7116 11.0129 Å, 90.00 90.00 90.00°
Atoms (fractional coordinates):
Ac: 0.0000 0.5000 0.2331
Ac: 0.5000 0.0000 0.7669
Zn: 0.0000 0.0000 0.0000
Zn: 0.0000 0.5000 0.6402
Zn: 0.5000 0.0000 0.3598
Sn: 0.0000 0.0000 0.5000
Sn: 0.0000 0.5000 0.8802
Sn: 0.5000 0.0000 0.1198
Sn: 0.5000 0.5000 0.5000
Rh: 0.5000 0.5000 0.0000



ScTlHg2: optimized geometry, PBE.

Summary:
Formation energy (eV per formula unit): -0.18
Volume (Å³/cell): 303
Electronic total energy (eV/atom): -2.370

Cell: 3.4763 3.4763 28.9357 Å, 90.00 90.00 120.00°
Atoms (fractional coordinates):
Sc: 0.0000 0.0000 0.0000
Sc: 0.3333 0.6667 0.6667
Sc: 0.6667 0.3333 0.3333
Tl: 0.0000 0.0000 0.7504
Tl: 0.3333 0.6667 0.4170
Tl: 0.6667 0.3333 0.0837
Hg: 0.0000 0.0000 0.2566
Hg: 0.0000 0.0000 0.5059
Hg: 0.3333 0.6667 0.1726
Hg: 0.3333 0.6667 0.9233
Hg: 0.6667 0.3333 0.5900
Hg: 0.6667 0.3333 0.8393



BaMgTl2: optimized geometry, PBE.

Summary:
Formation energy (eV per formula unit): -1.14
Volume (Å³/cell): 404
Electronic total energy (eV/atom): -2.349

Cell: 5.0536 5.0536 18.2665 Å, 90.00 90.00 120.00°
Atoms (fractional coordinates):
Ba: 0.0000 0.0000 0.0000
Ba: 0.3333 0.6667 0.6667
Ba: 0.6667 0.3333 0.3333
Mg: 0.0000 0.0000 0.5000
Mg: 0.3333 0.6667 0.1667
Mg: 0.6667 0.3333 0.8333
Tl: 0.0000 0.0000 0.2183
Tl: 0.0000 0.0000 0.7817
Tl: 0.3333 0.6667 0.4484
Tl: 0.3333 0.6667 0.8850
Tl: 0.6667 0.3333 0.1150
Tl: 0.6667 0.3333 0.5516



Fe3Co5H12: optimized geometry, PBE.

Summary:
Volume (Å³/cell): 501
Electronic total energy (eV/atom): -4.910

Cell: 8.6662 8.6662 8.6662 Å, 109.47 109.47 109.47°
Atoms (fractional coordinates):
Fe: 0.1250 0.2500 0.3750
Fe: 0.1250 0.3750 0.7500
Fe: 0.2500 0.3750 0.1250
Fe: 0.2500 0.8750 0.6250
Fe: 0.3750 0.1250 0.2500
Fe: 0.3750 0.7500 0.1250
Fe: 0.6250 0.2500 0.8750
Fe: 0.6250 0.8750 0.7500
Fe: 0.7500 0.1250 0.3750
Fe: 0.7500 0.6250 0.8750
Fe: 0.8750 0.6250 0.2500
Fe: 0.8750 0.7500 0.6250
Co: 0.0000 0.0000 0.0000
Co: 0.0000 0.0000 0.5000
Co: 0.0000 0.5000 0.0000
Co: 0.0000 0.5000 0.5000
Co: 0.1250 0.7500 0.8750
Co: 0.1250 0.8750 0.2500
Co: 0.2500 0.1250 0.8750
Co: 0.2500 0.6250 0.3750
Co: 0.3750 0.2500 0.6250
Co: 0.3750 0.6250 0.7500
Co: 0.5000 0.0000 0.0000
Co: 0.5000 0.0000 0.5000
Co: 0.5000 0.5000 0.0000
Co: 0.5000 0.5000 0.5000
Co: 0.6250 0.3750 0.2500
Co: 0.6250 0.7500 0.3750
Co: 0.7500 0.3750 0.6250
Co: 0.7500 0.8750 0.1250
Co: 0.8750 0.1250 0.7500
Co: 0.8750 0.2500 0.1250
H: 0.0504 0.2166 0.1327
H: 0.0504 0.3338 0.9177
H: 0.0823 0.6327 0.4161
H: 0.0823 0.9496 0.6662
H: 0.0839 0.7166 0.6662
H: 0.0839 0.8673 0.4177
H: 0.1327 0.0504 0.2166
H: 0.1327 0.5823 0.9161
H: 0.1662 0.2166 0.5839
H: 0.1662 0.4496 0.5823
H: 0.2166 0.1327 0.0504
H: 0.2166 0.5839 0.1662
H: 0.2834 0.3338 0.9161
H: 0.2834 0.4496 0.3673
H: 0.3338 0.9161 0.2834
H: 0.3338 0.9177 0.0504
H: 0.3673 0.2834 0.4496
H: 0.3673 0.5839 0.9177
H: 0.4161 0.0823 0.6327
H: 0.4161 0.8338 0.7834
H: 0.4177 0.0839 0.8673
H: 0.4177 0.8338 0.5504
H: 0.4496 0.3673 0.2834
H: 0.4496 0.5823 0.1662
H: 0.5504 0.4177 0.8338
H: 0.5504 0.6327 0.7166
H: 0.5823 0.1662 0.4496
H: 0.5823 0.9161 0.1327
H: 0.5839 0.1662 0.2166
H: 0.5839 0.9177 0.3673
H: 0.6327 0.4161 0.0823
H: 0.6327 0.7166 0.5504
H: 0.6662 0.0823 0.9496
H: 0.6662 0.0839 0.7166
H: 0.7166 0.5504 0.6327
H: 0.7166 0.6662 0.0839
H: 0.7834 0.4161 0.8338
H: 0.7834 0.8673 0.9496
H: 0.8338 0.5504 0.4177
H: 0.8338 0.7834 0.4161
H: 0.8673 0.4177 0.0839
H: 0.8673 0.9496 0.7834
H: 0.9161 0.1327 0.5823
H: 0.9161 0.2834 0.3338
H: 0.9177 0.0504 0.3338
H: 0.9177 0.3673 0.5839
H: 0.9496 0.6662 0.0823
H: 0.9496 0.7834 0.8673



Among the records above, which one has the highest volume?
InTe2I



The highest electronic total energy belongs to which entry?
BeHg2As



Please write out number 1 again, unchanged.
BeHg2As: optimized geometry, PBE.

Summary:
Formation energy (eV per formula unit): 1.22
Volume (Å³/cell): 86
Electronic total energy (eV/atom): -1.941
Offset from the most stable computed form (eV per atom): 0.245

Cell: 3.0419 3.0419 9.3187 Å, 90.00 90.00 90.00°
Atoms (fractional coordinates):
Be: 0.0000 0.0000 0.0000
Hg: 0.0000 0.0000 0.5408
Hg: 0.5000 0.5000 0.2236
As: 0.5000 0.5000 0.8787